# 1
{
  "formula": "PmEr3Se4",
  "functional": "PBE",
  "state": "relaxed",
  "energy_ev_per_cell": -45.993,
  "raw_formation_energy_ev_per_atom": -1.70,
  "relative_energy_mev_per_atom": 22,
  "spacegroup": "No. 221",
  "lattice_angstrom": [[5.7723, 0.0000, 0.0000], [0.0000, 5.7723, 0.0000], [0.0000, 0.0000, 5.7723]],
  "species": ["Pm", "Er", "Er", "Er", "Se", "Se", "Se", "Se"],
  "fractional_positions": [[0.0000, 0.0000, 0.0000], [0.0000, 0.5000, 0.5000], [0.5000, 0.0000, 0.5000], [0.5000, 0.5000, 0.0000], [0.0000, 0.0000, 0.5000], [0.0000, 0.5000, 0.0000], [0.5000, 0.0000, 0.0000], [0.5000, 0.5000, 0.5000]]
}


# 2
{
  "formula": "LuAl4Ni",
  "functional": "PBE",
  "state": "relaxed",
  "energy_ev_per_cell": -56.849,
  "delta_e_f_mev_per_atom": -525,
  "spacegroup": "No. 11",
  "lattice_angstrom": [[4.0280, 0.0000, 0.0000], [0.0000, 6.6505, 0.0000], [-2.0226, 0.0000, 7.5780]],
  "species": ["Lu", "Lu", "Al", "Al", "Al", "Al", "Al", "Al", "Al", "Al", "Ni", "Ni"],
  "fractional_positions": [[0.1209, 0.2500, 0.2418], [0.8791, 0.7500, 0.7582], [0.0744, 0.7500, 0.1481], [0.3126, 0.0534, 0.6254], [0.3126, 0.4466, 0.6254], [0.5000, 0.0000, 0.0000], [0.5000, 0.5000, 0.0000], [0.6874, 0.5534, 0.3746], [0.6874, 0.9466, 0.3746], [0.9256, 0.2500, 0.8519], [0.2278, 0.7500, 0.4557], [0.7722, 0.2500, 0.5443]]
}


# 3
{
  "formula": "Li2UPt8",
  "functional": "PBE",
  "state": "relaxed",
  "energy_ev_per_cell": -68.492,
  "delta_e_f_mev_per_atom": -459,
  "spacegroup": "No. 71",
  "lattice_angstrom": [[-2.0871, 3.4070, 6.2011], [2.0871, -3.4070, 6.2011], [2.0871, 3.4070, -6.2011]],
  "species": ["Li", "Li", "U", "Pt", "Pt", "Pt", "Pt", "Pt", "Pt", "Pt", "Pt"],
  "fractional_positions": [[0.1968, 0.1968, 0.0000], [0.8032, 0.8032, 0.0000], [0.5000, 0.5000, 0.0000], [0.0579, 0.3455, 0.7124], [0.1988, 0.0000, 0.1988], [0.3445, 0.8445, 0.5000], [0.3670, 0.6545, 0.7124], [0.6330, 0.3455, 0.2876], [0.6555, 0.1555, 0.5000], [0.8012, 0.0000, 0.8012], [0.9421, 0.6545, 0.2876]]
}


# 4
{
  "formula": "Sm3Al9Ru2",
  "functional": "PBE",
  "state": "relaxed",
  "energy_ev_per_cell": -74.207,
  "delta_e_f_mev_per_atom": -558,
  "spacegroup": "No. 71",
  "lattice_angstrom": [[-2.1862, 4.8048, 6.3210], [2.1862, -4.8048, 6.3210], [2.1862, 4.8048, -6.3210]],
  "species": ["Sm", "Sm", "Sm", "Al", "Al", "Al", "Al", "Al", "Al", "Al", "Al", "Al", "Ru", "Ru"],
  "fractional_positions": [[0.0000, 0.0000, 0.0000], [0.2975, 0.2975, 0.0000], [0.7025, 0.7025, 0.0000], [0.0080, 0.6491, 0.3589], [0.1586, 0.8755, 0.2831], [0.2902, 0.6491, 0.6411], [0.4076, 0.1245, 0.2831], [0.5000, 0.0000, 0.5000], [0.5924, 0.8755, 0.7169], [0.7098, 0.3509, 0.3589], [0.8414, 0.1245, 0.7169], [0.9920, 0.3509, 0.6411], [0.3261, 0.5000, 0.8261], [0.6739, 0.5000, 0.1739]]
}